1.
A relaxed RbTbHg3Se4 crystal, computed with PBE.

Lattice parameters (Å, degrees): 6.9587 6.9587 6.9587 90.00 90.00 90.00
Fractional positions:
1 Rb 0.0000 0.0000 0.0000
2 Tb 0.5000 0.5000 0.5000
3 Hg 0.0000 0.5000 0.5000
4 Hg 0.5000 0.0000 0.5000
5 Hg 0.5000 0.5000 0.0000
6 Se 0.2758 0.2758 0.2758
7 Se 0.2758 0.7242 0.7242
8 Se 0.7242 0.2758 0.7242
9 Se 0.7242 0.7242 0.2758

crystal system: cubic
theoretical density: 5.73 g cm⁻³
DFT total energy: -2.96 eV per atom

2.
A relaxed RbHg3WSe4 crystal, computed with PBE.

Lattice parameters (Å, degrees): 7.3686 7.3686 7.3686 90.00 90.00 90.00
Fractional positions:
1 Rb 0.0000 0.0000 0.0000
2 Hg 0.0000 0.5000 0.5000
3 Hg 0.5000 0.0000 0.5000
4 Hg 0.5000 0.5000 0.0000
5 W 0.5000 0.5000 0.5000
6 Se 0.3149 0.3149 0.3149
7 Se 0.3149 0.6851 0.6851
8 Se 0.6851 0.3149 0.6851
9 Se 0.6851 0.6851 0.3149

crystal system: cubic
theoretical density: 4.93 g cm⁻³
DFT total energy: -3.38 eV per atom

3.
A relaxed RbSiHg crystal, computed with PBE.

Lattice parameters (Å, degrees): 5.2269 5.2269 5.2269 60.00 60.00 60.00
Fractional positions:
1 Rb 0.0000 0.0000 0.0000
2 Si 0.7500 0.7500 0.7500
3 Hg 0.5000 0.5000 0.5000

crystal system: cubic
theoretical density: 5.17 g cm⁻³
DFT total energy: -1.69 eV per atom